Below is a relaxed structure of InTc2Bi, with properties calculated at the GGA-PBE level.

a = 4.6944 Å, b = 4.6944 Å, c = 4.6944 Å
α = 60.00°, β = 60.00°, γ = 60.00°
Last column: nearest neighbours and their distance in Å.
Sites, in units of the cell vectors:
In 0.0000 0.0000 0.0000  8 Tc 2.87
Bi 0.5000 0.5000 0.5000  8 Tc 2.87
Tc 0.7500 0.7500 0.7500  4 In 2.87, 4 Bi 2.87
Tc 0.2500 0.2500 0.2500  4 In 2.87, 4 Bi 2.87

Summary:
* N(E_F): 6.40 states/eV/f.u.
* total DFT energy (no corrections): -6.30 eV/atom